1.
{
  "formula": "CdSbTe2Cl",
  "functional": "PBE",
  "state": "relaxed",
  "spacegroup": "No. 123",
  "lattice_angstrom": [[5.625, 0.000, 0.000], [0.000, 5.625, 0.000], [0.000, 0.000, 5.165]],
  "species": ["Cd", "Sb", "Te", "Te", "Cl"],
  "fractional_positions": [[0.000, 0.000, 0.000], [0.500, 0.500, 0.000], [0.000, 0.500, 0.500], [0.500, 0.000, 0.500], [0.500, 0.500, 0.500]]
}

=====

2.
{
  "formula": "TlCdSbCl6",
  "functional": "PBE",
  "state": "relaxed",
  "spacegroup": "No. 149",
  "lattice_angstrom": [[6.970, 0.000, 0.000], [-3.485, 6.037, 0.000], [0.000, 0.000, 7.033]],
  "species": ["Tl", "Cd", "Sb", "Cl", "Cl", "Cl", "Cl", "Cl", "Cl"],
  "fractional_positions": [[0.000, 0.000, 0.000], [0.333, 0.667, 0.500], [0.667, 0.333, 0.500], [0.001, 0.371, 0.284], [0.001, 0.631, 0.716], [0.369, 0.371, 0.716], [0.369, 0.999, 0.284], [0.629, 0.631, 0.284], [0.629, 0.999, 0.716]]
}

=====

3.
{
  "formula": "ZrCd2SbCl",
  "functional": "PBE",
  "state": "relaxed",
  "spacegroup": "No. 123",
  "lattice_angstrom": [[5.589, 0.000, 0.000], [0.000, 5.589, 0.000], [0.000, 0.000, 5.230]],
  "species": ["Zr", "Cd", "Cd", "Sb", "Cl"],
  "fractional_positions": [[0.000, 0.000, 0.000], [0.000, 0.500, 0.500], [0.500, 0.000, 0.500], [0.500, 0.500, 0.500], [0.500, 0.500, 0.000]]
}

=====

4.
{
  "formula": "Sc2CdCl",
  "functional": "PBE",
  "state": "relaxed",
  "spacegroup": "No. 99",
  "lattice_angstrom": [[3.274, 0.000, 0.000], [0.000, 3.274, 0.000], [0.000, 0.000, 9.411]],
  "species": ["Sc", "Sc", "Cd", "Cl"],
  "fractional_positions": [[0.000, 0.000, 0.000], [0.500, 0.500, 0.243], [0.000, 0.000, 0.461], [0.500, 0.500, 0.846]]
}

=====

5.
{
  "formula": "Sc2CdCl",
  "functional": "PBE",
  "state": "relaxed",
  "spacegroup": "No. 65",
  "lattice_angstrom": [[1.753, -2.736, 0.000], [1.753, 2.736, 0.000], [0.000, 0.000, 9.059]],
  "species": ["Sc", "Sc", "Cd", "Cl"],
  "fractional_positions": [[0.000, 0.000, 0.232], [0.000, 0.000, 0.768], [0.500, 0.500, 0.500], [0.500, 0.500, 0.000]]
}

=====

6.
{
  "formula": "Sc2CdCl",
  "functional": "PBE",
  "state": "relaxed",
  "spacegroup": "No. 166",
  "lattice_angstrom": [[1.613, 0.931, 10.207], [-1.613, 0.931, 10.207], [0.000, -1.863, 10.207]],
  "species": ["Sc", "Sc", "Cd", "Cl"],
  "fractional_positions": [[0.099, 0.099, 0.099], [0.901, 0.901, 0.901], [0.000, 0.000, 0.000], [0.500, 0.500, 0.500]]
}

=====

7.
{
  "formula": "ScCdCl",
  "functional": "PBE",
  "state": "relaxed",
  "spacegroup": "No. 38",
  "lattice_angstrom": [[15.085, 0.000, 0.000], [0.000, 1.690, 2.955], [0.000, -1.690, 2.955]],
  "species": ["Sc", "Sc", "Cd", "Cd", "Cl", "Cl"],
  "fractional_positions": [[0.160, 0.000, 0.000], [0.840, 0.000, 0.000], [0.000, 0.670, 0.670], [0.500, 0.925, 0.925], [0.272, 0.668, 0.668], [0.728, 0.668, 0.668]]
}

=====

8.
{
  "formula": "Sc2CdCl",
  "functional": "PBE",
  "state": "relaxed",
  "spacegroup": "No. 216",
  "lattice_angstrom": [[0.000, 3.668, 3.668], [3.668, 0.000, 3.668], [3.668, 3.668, 0.000]],
  "species": ["Sc", "Sc", "Cd", "Cl"],
  "fractional_positions": [[0.000, 0.000, 0.000], [0.250, 0.250, 0.250], [0.750, 0.750, 0.750], [0.500, 0.500, 0.500]]
}

=====

9.
{
  "formula": "ScCd3Cl",
  "functional": "PBE",
  "state": "relaxed",
  "spacegroup": "No. 221",
  "lattice_angstrom": [[5.800, 0.000, 0.000], [0.000, 5.800, 0.000], [0.000, 0.000, 5.800]],
  "species": ["Sc", "Cd", "Cd", "Cd", "Cl"],
  "fractional_positions": [[0.000, 0.000, 0.000], [0.000, 0.000, 0.500], [0.000, 0.500, 0.000], [0.500, 0.000, 0.000], [0.500, 0.500, 0.500]]
}

=====

10.
{
  "formula": "Sc2CdCl",
  "functional": "PBE",
  "state": "relaxed",
  "spacegroup": "No. 225",
  "lattice_angstrom": [[0.000, 3.520, 3.520], [3.520, 0.000, 3.520], [3.520, 3.520, 0.000]],
  "species": ["Sc", "Sc", "Cd", "Cl"],
  "fractional_positions": [[0.250, 0.250, 0.250], [0.750, 0.750, 0.750], [0.000, 0.000, 0.000], [0.500, 0.500, 0.500]]
}

=====

11.
{
  "formula": "ScCdCl",
  "functional": "PBE",
  "state": "relaxed",
  "spacegroup": "No. 107",
  "lattice_angstrom": [[-1.614, 1.614, 7.352], [1.614, -1.614, 7.352], [1.614, 1.614, -7.352]],
  "species": ["Sc", "Cd", "Cl"],
  "fractional_positions": [[0.000, 0.000, 0.000], [0.644, 0.644, 0.000], [0.399, 0.399, 0.000]]
}

=====

12.
{
  "formula": "ScCd4Cl",
  "functional": "PBE",
  "state": "relaxed",
  "spacegroup": "No. 216",
  "lattice_angstrom": [[0.000, 4.174, 4.174], [4.174, 0.000, 4.174], [4.174, 4.174, 0.000]],
  "species": ["Sc", "Cd", "Cd", "Cd", "Cd", "Cl"],
  "fractional_positions": [[0.000, 0.000, 0.000], [0.123, 0.626, 0.626], [0.626, 0.123, 0.626], [0.626, 0.626, 0.123], [0.626, 0.626, 0.626], [0.250, 0.250, 0.250]]
}

=====

| no. | energy (eV per cell) | size of the total moment (μB/cell) |
| --- | --- | --- |
| 1 | -9.80 | 0.0 |
| 2 | -27.37 | 0.0 |
| 3 | -12.75 | 2.4 |
| 4 | -17.87 | 0.8 |
| 5 | -17.50 | 0.0 |
| 6 | -16.79 | 0.0 |
| 7 | -23.46 | 1.3 |
| 8 | -14.77 | 3.1 |
| 9 | -9.19 | 0.1 |
| 10 | -16.66 | 0.0 |
| 11 | -11.40 | 1.0 |
| 12 | -12.02 | 0.8 |